Record 1
## CePmSmSe3 (GGA-PBE)

Data for crystalline CePmSmSe3 at its relaxed geometry.

Lattice parameters (Å, degrees): 4.0482 7.3567 10.8798 102.67 90.00 90.00
Closest atoms and distances in Å follow each position.
Element x y z (fractional)
Sm 0.2500 0.7640 0.0568  6 Se 2.92-2.99
Ce 0.7500 0.8803 0.3740  5 Se 2.92-3.03
Se 0.7500 0.2937 0.4928  3 Ce 2.94-3.03, 3 Pm 3.01-3.10
Se 0.2500 0.9421 0.8416  3 Sm 2.92-2.99, 1 Ce 2.92, 2 Pm 3.07
Ce 0.2500 0.1197 0.6260  5 Se 2.92-3.03
Se 0.7500 0.5452 0.1654  3 Sm 2.93-2.99, 1 Ce 2.96, 2 Pm 3.06
Se 0.2500 0.7063 0.5072  3 Ce 2.94-3.03, 3 Pm 3.01-3.10
Pm 0.2500 0.3431 0.2986  7 Se 3.01-3.10
Pm 0.7500 0.6569 0.7014  7 Se 3.01-3.10
Se 0.2500 0.4548 0.8346  3 Sm 2.93-2.99, 1 Ce 2.96, 2 Pm 3.06
Se 0.7500 0.0579 0.1584  3 Sm 2.92-2.99, 1 Ce 2.92, 2 Pm 3.07
Sm 0.7500 0.2360 0.9432  6 Se 2.92-2.99

Results
Uncorrected energy in eV/atom: -6.018
Magnetization in μB/f.u.: 1.53
Space group: P2_1/m, No. 11



Record 2
## CePm2SmSe4 (GGA-PBE)

Data for crystalline CePm2SmSe4 at its relaxed geometry.

Lattice parameters (Å, degrees): 4.1679 7.2698 7.2767 70.85 90.00 90.00
Closest atoms and distances in Å follow each position.
Element x y z (fractional)
Se 0.0000 0.7495 0.7491  1 Sm 2.96, 3 Pm 2.96-2.97, 2 Ce 2.97
Pm 0.0000 0.0000 0.0000  6 Se 2.97
Ce 0.5000 0.5000 0.0000  6 Se 2.96-2.97
Se 0.0000 0.2505 0.2509  1 Sm 2.95, 3 Pm 2.96-2.97, 2 Ce 2.97
Se 0.5000 0.2516 0.7487  2 Sm 2.96, 1 Ce 2.96, 3 Pm 2.96-2.97
Pm 0.5000 0.0000 0.5000  6 Se 2.96
Sm 0.0000 0.5000 0.5000  6 Se 2.95-2.96
Se 0.5000 0.7484 0.2513  2 Sm 2.96, 1 Ce 2.96, 3 Pm 2.96-2.97

Results
Uncorrected energy in eV/atom: -6.094
Magnetization in μB/f.u.: 0.98
Space group: P2/m, No. 10



Among the records above, which one has the highest uncorrected energy?
CePmSmSe3